Entry 1:
A relaxed structure of Y2ReCl, computed with GGA-PBE.

Properties
* raw formation energy: 0.141 eV per atom
* raw total energy: -6.6648 eV per atom
* excess energy over the best structure of this formula in the dataset: 780.2 meV per atom
* magnetic moment: 0.025 μB/f.u.

Lattice parameters (Å, degrees): 4.007 4.007 11.165 90.00 90.00 90.00
Space group I-4m2 (No. 119)
Symmetry-distinct sites (fractional):
Y 0.000 0.000 0.000 [2 per cell]
Y 0.000 0.500 0.250 [2 per cell]
Re 0.000 0.000 0.500 [2 per cell]
Cl 0.000 0.500 0.750 [2 per cell]



Entry 2:
A relaxed structure of Pr2SnBr8, computed with GGA-PBE.

Properties
* raw formation energy: -1.568 eV per atom
* raw total energy: -4.0178 eV per atom
* magnetic moment: 0.000 μB/f.u.

Lattice parameters (Å, degrees): 23.063 4.217 8.499 90.00 98.12 90.00
Space group C2/m (No. 12)
Symmetry-distinct sites (fractional):
Pr 0.159 0.000 0.337 [4 per cell]
Sn 0.000 0.500 0.000 [2 per cell]
Br 0.021 0.000 0.251 [4 per cell]
Br 0.116 0.500 0.531 [4 per cell]
Br 0.132 0.500 0.066 [4 per cell]
Br 0.244 0.000 0.669 [4 per cell]



Entry 3:
A relaxed structure of In2Hg5Bi2, computed with GGA-PBE.

Properties
* raw total energy: -1.5901 eV per atom
* magnetic moment: 0.000 μB/f.u.

Lattice parameters (Å, degrees): 15.702 10.274 7.482 90.00 116.92 90.00
Space group Cc (No. 9)
Symmetry-distinct sites (fractional):
In 0.000 0.239 0.000 [4 per cell]
In 0.243 0.258 0.277 [4 per cell]
Hg 0.056 0.476 0.556 [4 per cell]
Hg 0.118 0.076 0.391 [4 per cell]
Hg 0.247 0.489 0.532 [4 per cell]
Hg 0.372 0.097 0.640 [4 per cell]
Hg 0.431 0.463 0.943 [4 per cell]
Bi 0.138 0.207 0.783 [4 per cell]
Bi 0.366 0.196 0.031 [4 per cell]



- raw total energy of number 3 (In2Hg5Bi2)?
  -1.5901 eV per atom



- Look up the raw total energy of the first one.
  -6.6648 eV per atom



Please write out number 2 again, unchanged.
A relaxed structure of Pr2SnBr8, computed with GGA-PBE.

Properties
* raw formation energy: -1.568 eV per atom
* raw total energy: -4.0178 eV per atom
* magnetic moment: 0.000 μB/f.u.

Lattice parameters (Å, degrees): 23.063 4.217 8.499 90.00 98.12 90.00
Space group C2/m (No. 12)
Symmetry-distinct sites (fractional):
Pr 0.159 0.000 0.337 [4 per cell]
Sn 0.000 0.500 0.000 [2 per cell]
Br 0.021 0.000 0.251 [4 per cell]
Br 0.116 0.500 0.531 [4 per cell]
Br 0.132 0.500 0.066 [4 per cell]
Br 0.244 0.000 0.669 [4 per cell]



Copy entry 2 word for word.
A relaxed structure of Pr2SnBr8, computed with GGA-PBE.

Properties
* raw formation energy: -1.568 eV per atom
* raw total energy: -4.0178 eV per atom
* magnetic moment: 0.000 μB/f.u.

Lattice parameters (Å, degrees): 23.063 4.217 8.499 90.00 98.12 90.00
Space group C2/m (No. 12)
Symmetry-distinct sites (fractional):
Pr 0.159 0.000 0.337 [4 per cell]
Sn 0.000 0.500 0.000 [2 per cell]
Br 0.021 0.000 0.251 [4 per cell]
Br 0.116 0.500 0.531 [4 per cell]
Br 0.132 0.500 0.066 [4 per cell]
Br 0.244 0.000 0.669 [4 per cell]